The following is a PBE calculation of a relaxed Cs2SrReBr6 crystal, from Alexandria via LeMat-Bulk.

It has space group Fm-3m (No. 225), with a = 11.177 Å, b = 11.177 Å, c = 11.177 Å, α = 90.00°, β = 90.00° and γ = 90.00°. The distinct sites, in fractional coordinates, are Cs at (0.250, 0.250, 0.250), Sr at (0.000, 0.000, 0.000), Re at (0.000, 0.000, 0.500) and Br at (0.000, 0.000, 0.269).

Its uncorrected formation energy is -11.3 eV per formula unit. The calculation puts the total magnetization at 4.0 Bohr magnetons per cell. The total DFT energy (no corrections) comes out at -3.72 eV/atom.